(1)
Material: Fe2TcNi2
Method: DFT, PBE
State: relaxed

Cell: 6.9355 6.9355 2.5130 Å, 90.00 90.00 90.00°
Fractional positions:
1 Fe 0.1211 0.3789 0.0000
2 Fe 0.3789 0.8789 0.0000
3 Fe 0.6211 0.1211 0.0000
4 Fe 0.8789 0.6211 0.0000
5 Tc 0.0000 0.0000 0.0000
6 Tc 0.5000 0.5000 0.0000
7 Ni 0.1756 0.6756 0.5000
8 Ni 0.3244 0.1756 0.5000
9 Ni 0.6756 0.8244 0.5000
10 Ni 0.8244 0.3244 0.5000

Properties
ΔE_f   0.17 eV per atom
DOS at the Fermi energy   0.9632 states/eV/atom
Distance to the lowest polymorph of the same formula   0 meV per atom
DFT total energy   -75.96 eV per cell

***

(2)
Material: FeTcNi14
Method: DFT, PBE
State: relaxed

Cell: 5.0283 5.0283 7.0581 Å, 90.00 90.00 90.00°
Fractional positions:
1 Fe 0.0000 0.0000 0.0000
2 Tc 0.5000 0.5000 0.0000
3 Ni 0.0000 0.0000 0.5000
4 Ni 0.0000 0.5000 0.0000
5 Ni 0.0000 0.5000 0.5000
6 Ni 0.2493 0.2493 0.2519
7 Ni 0.2493 0.2493 0.7481
8 Ni 0.2493 0.7507 0.2519
9 Ni 0.2493 0.7507 0.7481
10 Ni 0.5000 0.0000 0.0000
11 Ni 0.5000 0.0000 0.5000
12 Ni 0.5000 0.5000 0.5000
13 Ni 0.7507 0.2493 0.2519
14 Ni 0.7507 0.2493 0.7481
15 Ni 0.7507 0.7507 0.2519
16 Ni 0.7507 0.7507 0.7481

Properties
ΔE_f   0.00 eV per atom
DOS at the Fermi energy   1.5767 states/eV/atom
DFT total energy   -99.71 eV per cell

***

(3)
Material: FeTc2Ni2
Method: DFT, PBE
State: relaxed

Cell: 6.8041 6.8041 2.7464 Å, 90.00 90.00 90.00°
Fractional positions:
1 Fe 0.0000 0.0000 0.0000
2 Fe 0.5000 0.5000 0.0000
3 Tc 0.1771 0.3229 0.5000
4 Tc 0.3229 0.8229 0.5000
5 Tc 0.6771 0.1771 0.5000
6 Tc 0.8229 0.6771 0.5000
7 Ni 0.1214 0.6214 0.0000
8 Ni 0.3786 0.1214 0.0000
9 Ni 0.6214 0.8786 0.0000
10 Ni 0.8786 0.3786 0.0000

Properties
ΔE_f   0.38 eV per atom
DOS at the Fermi energy   1.8346 states/eV/atom
Distance to the lowest polymorph of the same formula   0 meV per atom
DFT total energy   -77.75 eV per cell

***

(4)
Material: FeTc2Ni8
Method: DFT, PBE
State: relaxed

Cell: 6.7469 6.7469 5.7004 Å, 104.51 104.51 30.71°
Fractional positions:
1 Fe 0.0000 0.0000 0.0000
2 Tc 0.2741 0.2741 0.3683
3 Tc 0.7259 0.7259 0.6317
4 Ni 0.0871 0.0871 0.4494
5 Ni 0.1807 0.1807 0.9152
6 Ni 0.3673 0.3673 0.8250
7 Ni 0.4544 0.4544 0.2718
8 Ni 0.5456 0.5456 0.7282
9 Ni 0.6327 0.6327 0.1750
10 Ni 0.8193 0.8193 0.0848
11 Ni 0.9129 0.9129 0.5506

Properties
ΔE_f   -0.01 eV per atom
DOS at the Fermi energy   1.2726 states/eV/atom
DFT total energy   -75.59 eV per cell

***

(5)
Material: FeTcNi3
Method: DFT, PBE
State: relaxed

Cell: 6.4809 6.4809 4.4817 Å, 106.05 106.05 42.17°
Fractional positions:
1 Fe 0.0561 0.0561 0.2973
2 Fe 0.9439 0.9439 0.7027
3 Tc 0.2954 0.2954 0.5887
4 Tc 0.7046 0.7046 0.4113
5 Ni 0.0944 0.6048 0.1346
6 Ni 0.3952 0.9056 0.8654
7 Ni 0.5000 0.5000 0.0000
8 Ni 0.5000 0.5000 0.5000
9 Ni 0.6048 0.0944 0.1346
10 Ni 0.9056 0.3952 0.8654

Properties
ΔE_f   0.11 eV per atom
DOS at the Fermi energy   1.3149 states/eV/atom
Distance to the lowest polymorph of the same formula   0 meV per atom
DFT total energy   -71.26 eV per cell

***

(6)
Material: Fe4TcNi12
Method: DFT, PBE
State: relaxed

Cell: 6.4372 6.4372 6.4372 Å, 109.47 109.47 109.47°
Fractional positions:
1 Fe 0.0000 0.0000 0.5000
2 Fe 0.0000 0.5000 0.0000
3 Fe 0.5000 0.0000 0.0000
4 Fe 0.5000 0.5000 0.5000
5 Tc 0.0000 0.0000 0.0000
6 Ni 0.0000 0.3062 0.3062
7 Ni 0.0000 0.6938 0.6938
8 Ni 0.2500 0.5000 0.7500
9 Ni 0.2500 0.7500 0.5000
10 Ni 0.3062 0.0000 0.3062
11 Ni 0.3062 0.3062 0.0000
12 Ni 0.5000 0.2500 0.7500
13 Ni 0.5000 0.7500 0.2500
14 Ni 0.6938 0.0000 0.6938
15 Ni 0.6938 0.6938 0.0000
16 Ni 0.7500 0.2500 0.5000
17 Ni 0.7500 0.5000 0.2500

Properties
ΔE_f   0.22 eV per atom
DOS at the Fermi energy   1.1311 states/eV/atom
DFT total energy   -109.83 eV per cell

***

(7)
Material: Fe6TcNi23
Method: DFT, PBE
State: relaxed

Cell: 8.5709 8.5709 8.5709 Å, 131.14 131.14 71.59°
Fractional positions:
1 Fe 0.2469 0.2469 0.4937
2 Fe 0.2469 0.7531 0.0000
3 Fe 0.2501 0.2501 0.0000
4 Fe 0.7499 0.7499 0.0000
5 Fe 0.7531 0.2469 0.0000
6 Fe 0.7531 0.7531 0.5063
7 Tc 0.5000 0.5000 0.0000
8 Ni 0.0000 0.0000 0.0000
9 Ni 0.0000 0.0000 0.5000
10 Ni 0.0000 0.5000 0.0000
11 Ni 0.0000 0.5000 0.5000
12 Ni 0.1152 0.3715 0.7437
13 Ni 0.1249 0.8728 0.2520
14 Ni 0.1272 0.3792 0.2520
15 Ni 0.1272 0.8751 0.7480
16 Ni 0.3715 0.1152 0.7437
17 Ni 0.3715 0.6278 0.2563
18 Ni 0.3722 0.6285 0.7437
19 Ni 0.3792 0.1272 0.2520
20 Ni 0.5000 0.0000 0.0000
21 Ni 0.5000 0.0000 0.5000
22 Ni 0.5000 0.5000 0.5000
23 Ni 0.6208 0.8728 0.7480
24 Ni 0.6278 0.3715 0.2563
25 Ni 0.6285 0.3722 0.7437
26 Ni 0.6285 0.8848 0.2563
27 Ni 0.8728 0.1249 0.2520
28 Ni 0.8728 0.6208 0.7480
29 Ni 0.8751 0.1272 0.7480
30 Ni 0.8848 0.6285 0.2563

Properties
ΔE_f   0.07 eV per atom
DOS at the Fermi energy   1.2264 states/eV/atom
DFT total energy   -192.09 eV per cell

***

(8)
Material: Fe3TcNi12
Method: DFT, PBE
State: relaxed

Cell: 3.5642 3.5642 14.2225 Å, 90.00 90.00 90.00°
Fractional positions:
1 Fe 0.0000 0.0000 0.0000
2 Fe 0.0000 0.0000 0.2443
3 Fe 0.0000 0.0000 0.7557
4 Tc 0.0000 0.0000 0.5000
5 Ni 0.0000 0.5000 0.1242
6 Ni 0.0000 0.5000 0.3726
7 Ni 0.0000 0.5000 0.6274
8 Ni 0.0000 0.5000 0.8758
9 Ni 0.5000 0.0000 0.1242
10 Ni 0.5000 0.0000 0.3726
11 Ni 0.5000 0.0000 0.6274
12 Ni 0.5000 0.0000 0.8758
13 Ni 0.5000 0.5000 0.0000
14 Ni 0.5000 0.5000 0.2484
15 Ni 0.5000 0.5000 0.5000
16 Ni 0.5000 0.5000 0.7516

Properties
ΔE_f   -0.01 eV per atom
DOS at the Fermi energy   1.0440 states/eV/atom
DFT total energy   -105.35 eV per cell